WO2F after structural relaxation. Source: the Alexandria database, functional GGA+U.

As for the total energy: -71.264 eV for the cell shown.

It has space group R-3m (No. 166, hexagonal axes), with a = 3.3092 Å, b = 3.3092 Å, c = 18.3419 Å, α = 90.00°, β = 90.00° and γ = 120.00°. The inequivalent atoms are W at (0.0000, 0.0000, 0.0000), O at (0.0000, 0.0000, 0.3807) and F at (0.0000, 0.0000, 0.5000).